# 1
An optimized crystal structure of Ba5CaTl3. Source: the Alexandria database, functional PBE-GGA.

Output
Formation energy from the elements = -259 meV per atom
E_tot = -2.34 eV per atom
Crystal system = hexagonal
SG = P6_3/mcm (193)

```
18
Lattice="-5.034 4.278 -4.608 -1.489 -8.338 -6.114 -6.198 1.597 8.255" Properties=species:S:1:pos:R:3 pbc="T T T"
Tl -9.403 -4.063 -4.059
Tl -6.331 0.968 -2.745
Tl -1.754 -1.702 -3.184
Tl -3.319 1.600 1.591
Tl -6.391 -3.431 0.277
Tl -4.770 -2.358 -7.538
Ba -4.259 0.500 -5.442
Ba -2.264 -4.560 -5.280
Ba -5.576 -2.887 -3.629
Ba -5.443 2.148 4.421
Ba -4.629 -1.714 3.465
Ba -3.756 -1.121 -0.457
Ba -8.966 -1.342 -2.011
Ba -7.278 -4.610 -6.888
Ba -3.059 -5.026 -1.324
Ba -7.146 0.425 1.161
Ca 0.000 0.000 0.000
Ca -2.517 2.139 -2.304
```

---

# 2
An optimized crystal structure of BaCa4Tl. Source: the Alexandria database, functional PBE-GGA.

Output
Formation energy from the elements = 112 meV per atom
E_tot = -1.94 eV per atom
Crystal system = cubic
SG = F-43m (216)

```
6
Lattice="0.000 5.102 5.102 5.102 0.000 5.102 5.102 5.102 0.000" Properties=species:S:1:pos:R:3 pbc="T T T"
Tl 7.653 7.653 7.653
Ca 3.834 3.834 3.834
Ca 3.834 6.370 6.370
Ca 6.370 6.370 3.834
Ca 6.370 3.834 6.370
Ba 0.000 0.000 0.000
```

---

# 3
An optimized crystal structure of Ba2Ca2Tl. Source: the Alexandria database, functional PBE-GGA.

Output
Relative energy among the computed polymorphs = 0.00 eV per formula unit
Formation energy from the elements = -59 meV per atom
E_tot = -2.10 eV per atom
Crystal system = tetragonal
SG = P4/mbm (127)

```
10
Lattice="-7.282 2.898 3.142 2.792 -1.474 7.831 2.468 5.942 0.239" Properties=species:S:1:pos:R:3 pbc="T T T"
Tl 0.000 0.000 0.000
Tl -2.245 0.712 5.487
Ba -0.606 3.638 2.529
Ba -3.850 4.878 5.215
Ba 1.827 2.489 5.997
Ba -1.416 3.728 8.683
Ca -4.357 1.498 7.769
Ca -0.133 -0.073 3.204
Ca -0.167 -0.241 7.737
Ca -4.322 1.665 3.236
```

---

# 4
An optimized crystal structure of Ba2CaTl8. Source: the Alexandria database, functional PBE-GGA.

Output
Formation energy from the elements = -214 meV per atom
E_tot = -2.47 eV per atom
Crystal system = monoclinic
SG = C2/m (12)

```
11
Lattice="5.528 -0.095 -1.448 -1.110 6.682 -3.057 -0.133 0.560 9.921" Properties=species:S:1:pos:R:3 pbc="T T T"
Tl 3.540 1.393 2.144
Tl 4.754 1.017 5.933
Tl -0.469 6.129 -0.517
Tl 3.608 2.764 -2.366
Tl 0.354 2.398 1.134
Tl 0.810 3.822 -2.140
Tl 0.744 5.753 3.272
Tl 3.931 4.748 4.281
Ca 2.764 -0.048 -0.724
Ba 1.281 2.377 4.731
Ba 3.004 4.769 0.684
```

---

# 5
An optimized crystal structure of BaCa3Tl4. Source: the Alexandria database, functional PBE-GGA.

Output
Formation energy from the elements = -420 meV per atom
E_tot = -2.59 eV per atom
Crystal system = tetragonal
SG = P4/mmm (123)

```
16
Lattice="-1.716 -2.249 4.848 4.572 -6.562 -1.426 8.615 4.850 5.299" Properties=species:S:1:pos:R:3 pbc="T T T"
Tl 2.671 -6.189 1.323
Tl 6.978 -3.764 3.973
Tl 4.493 -0.197 4.748
Tl 3.969 -6.101 5.068
Tl 0.185 -2.622 2.098
Tl 1.482 -2.531 5.844
Tl 9.989 -1.430 2.877
Tl 7.502 2.140 3.653
Ba 6.593 -0.856 1.937
Ba 2.286 -3.281 -0.713
Ca 1.297 0.090 3.745
Ca 0.000 0.000 0.000
Ca 3.582 -3.192 3.033
Ca 5.602 2.511 6.402
Ca 4.307 2.425 2.650
Ca 7.888 -0.769 5.688
```

---

# 6
An optimized crystal structure of BaCaTl. Source: the Alexandria database, functional PBE-GGA.

Output
Formation energy from the elements = 246 meV per atom
E_tot = -1.85 eV per atom
Crystal system = cubic
SG = F-43m (216)

```
3
Lattice="-2.710 0.422 5.004 1.741 -3.108 4.458 2.557 2.540 4.424" Properties=species:S:1:pos:R:3 pbc="T T T"
Tl 0.794 -0.073 6.944
Ba 1.191 -0.109 10.415
Ca 0.000 0.000 0.000
```

---

# 7
An optimized crystal structure of Ba4CaTl2. Source: the Alexandria database, functional PBE-GGA.

Output
Relative energy among the computed polymorphs = 0.00 eV per formula unit
Formation energy from the elements = -214 meV per atom
E_tot = -2.27 eV per atom
Crystal system = trigonal
SG = R-3m (166)

```
7
Lattice="-1.939 5.068 -2.767 -3.964 3.676 2.806 5.486 7.930 3.974" Properties=species:S:1:pos:R:3 pbc="T T T"
Ba -2.682 6.673 0.692
Ba -2.943 10.735 1.612
Ba 2.264 10.001 3.320
Ba 2.526 5.938 2.401
Tl -0.029 12.696 3.160
Tl -0.388 3.977 0.852
Ca 0.000 0.000 0.000
```

---

# 8
An optimized crystal structure of BaCaTl3. Source: the Alexandria database, functional PBE-GGA.

Output
Relative energy among the computed polymorphs = 2.44 eV per formula unit
Formation energy from the elements = 473 meV per atom
E_tot = -1.73 eV per atom
Crystal system = cubic
SG = Pm-3m (221)

```
5
Lattice="-0.167 -4.414 -4.475 5.576 1.963 -2.144 2.902 -4.025 3.862" Properties=species:S:1:pos:R:3 pbc="T T T"
Ca 4.156 -3.238 -1.378
Ba 0.000 0.000 0.000
Tl 1.451 -2.013 1.931
Tl 2.788 0.981 -1.072
Tl -0.083 -2.207 -2.238
```

---

# 9
An optimized crystal structure of Ba8CaTl2. Source: the Alexandria database, functional PBE-GGA.

Output
Relative energy among the computed polymorphs = 0.42 eV per formula unit
Formation energy from the elements = -102 meV per atom
E_tot = -2.11 eV per atom
Crystal system = monoclinic
SG = C2/m (12)

```
11
Lattice="6.772 -0.093 -0.140 -1.248 9.916 -0.119 -1.248 -3.929 9.105" Properties=species:S:1:pos:R:3 pbc="T T T"
Ba 2.138 -0.524 6.735
Ba 0.444 3.674 5.515
Ba 4.190 6.562 5.889
Ba 2.138 6.417 2.111
Ba 0.087 -0.668 2.957
Ba 3.833 2.219 3.331
Ba 4.190 2.907 8.324
Ba 0.087 2.986 0.522
Tl -1.248 5.491 2.829
Tl -1.248 0.495 6.157
Ca 3.386 -0.047 -0.070
```

---

# 10
An optimized crystal structure of BaCaTl4. Source: the Alexandria database, functional PBE-GGA.

Output
Relative energy among the computed polymorphs = 0.26 eV per formula unit
Formation energy from the elements = -232 meV per atom
E_tot = -2.46 eV per atom
Crystal system = cubic
SG = F-43m (216)

```
6
Lattice="6.544 0.000 0.000 3.272 5.668 0.000 3.272 1.889 5.343" Properties=species:S:1:pos:R:3 pbc="T T T"
Tl 8.185 4.726 3.342
Tl 6.544 3.778 0.662
Tl 4.903 4.726 3.342
Tl 6.544 1.884 3.342
Ca 0.000 0.000 0.000
Ba 3.272 1.889 1.336
```

---

# 11
An optimized crystal structure of Ba2Ca3Tl2. Source: the Alexandria database, functional PBE-GGA.

Output
Formation energy from the elements = -270 meV per atom
E_tot = -2.35 eV per atom
Crystal system = monoclinic
SG = C2/m (12)

```
7
Lattice="-1.328 0.872 -5.198 -0.659 -6.376 1.940 -7.396 4.586 2.659" Properties=species:S:1:pos:R:3 pbc="T T T"
Tl -1.997 -0.911 0.357
Tl -7.385 -0.007 -0.956
Ba -3.173 -2.925 -2.522
Ba -6.209 2.007 1.923
Ca -0.664 0.436 -2.599
Ca -4.238 0.792 -1.626
Ca -5.145 -1.710 1.027
```

---

# 12
An optimized crystal structure of BaCa2Tm. Source: the Alexandria database, functional PBE-GGA.

Output
Relative energy among the computed polymorphs = 0.22 eV per formula unit
Formation energy from the elements = 189 meV per atom
E_tot = -2.41 eV per atom
Crystal system = cubic
SG = Fm-3m (225)

```
4
Lattice="-0.256 4.541 -4.178 -4.541 4.179 0.255 1.243 5.812 1.677" Properties=species:S:1:pos:R:3 pbc="T T T"
Tm 0.000 0.000 0.000
Ca -2.665 10.899 -1.684
Ca -0.888 3.633 -0.561
Ba -1.777 7.266 -1.123
```

---

# 13
An optimized crystal structure of BaCa2Tm. Source: the Alexandria database, functional PBE-GGA.

Output
Relative energy among the computed polymorphs = 0.81 eV per formula unit
Formation energy from the elements = 336 meV per atom
E_tot = -2.26 eV per atom
Crystal system = trigonal
SG = R-3m (166)

```
4
Lattice="-0.932 3.618 0.269 -1.560 1.303 3.146 11.687 4.492 6.165" Properties=species:S:1:pos:R:3 pbc="T T T"
Ca 0.599 5.625 4.657
Ca 8.595 3.788 4.923
Tm 0.000 0.000 0.000
Ba 4.597 4.706 4.790
```

---

# 14
An optimized crystal structure of BaCa2Tm. Source: the Alexandria database, functional PBE-GGA.

Output
Relative energy among the computed polymorphs = 0.00 eV per formula unit
Formation energy from the elements = 133 meV per atom
E_tot = -2.47 eV per atom
Crystal system = tetragonal
SG = P4/mmm (123)

```
4
Lattice="-1.799 -1.619 -3.391 3.581 0.399 -2.090 2.667 -8.957 2.861" Properties=species:S:1:pos:R:3 pbc="T T T"
Ba 2.225 -5.088 -1.310
Ca 0.557 -1.872 0.598
Ca 2.110 -7.085 2.263
Tm 0.891 -0.610 -2.740
```

---

# 15
An optimized crystal structure of BaCa2Tm. Source: the Alexandria database, functional PBE-GGA.

Output
Relative energy among the computed polymorphs = 0.25 eV per formula unit
Formation energy from the elements = 195 meV per atom
E_tot = -2.40 eV per atom
Crystal system = tetragonal
SG = P4/mmm (123)

```
4
Lattice="-2.665 3.337 -0.747 0.049 -1.312 -6.035 -4.871 -3.718 0.768" Properties=species:S:1:pos:R:3 pbc="T T T"
Ba -1.332 1.668 -0.373
Ca 0.025 -0.656 -3.018
Ca -2.436 -1.859 0.384
Tm -3.743 -0.847 -3.007
```

---

# 16
An optimized crystal structure of BaCa2Tm. Source: the Alexandria database, functional PBE-GGA.

Output
Relative energy among the computed polymorphs = 0.11 eV per formula unit
Formation energy from the elements = 160 meV per atom
E_tot = -2.44 eV per atom
Crystal system = trigonal
SG = R3m (160)

```
4
Lattice="3.873 0.000 0.000 1.937 3.354 0.000 1.937 1.118 12.845" Properties=species:S:1:pos:R:3 pbc="T T T"
Tm 5.809 3.354 12.841
Ba 3.873 2.236 6.435
Ca 1.936 1.118 9.902
Ca 1.937 1.118 2.935
```

---

# 17
An optimized crystal structure of Ba2CaTm. Source: the Alexandria database, functional PBE-GGA.

Output
Relative energy among the computed polymorphs = 0.00 eV per formula unit
Formation energy from the elements = 194 meV per atom
E_tot = -2.39 eV per atom
Crystal system = tetragonal
SG = P4/mmm (123)

```
4
Lattice="-0.558 -3.019 3.143 4.276 0.233 0.982 -1.872 7.083 6.473" Properties=species:S:1:pos:R:3 pbc="T T T"
Ca 0.923 2.148 5.299
Ba -1.446 5.471 5.000
Ba -0.426 1.612 1.473
Tm 1.859 -1.393 2.062
```

---

# 18
An optimized crystal structure of Ba2CaTm. Source: the Alexandria database, functional PBE-GGA.

Output
Relative energy among the computed polymorphs = 0.63 eV per formula unit
Formation energy from the elements = 352 meV per atom
E_tot = -2.23 eV per atom
Crystal system = trigonal
SG = R-3m (166)

```
4
Lattice="3.839 0.000 0.000 1.919 3.324 0.000 1.919 1.108 14.133" Properties=species:S:1:pos:R:3 pbc="T T T"
Ba 1.919 1.108 10.585
Ba 5.758 3.324 3.548
Tm 0.000 0.000 0.000
Ca 3.839 2.216 7.067
```

---

# 19
An optimized crystal structure of Ba2CaV2. Source: the Alexandria database, functional PBE-GGA.

Output
Relative energy among the computed polymorphs = 0.70 eV per formula unit
Formation energy from the elements = 809 meV per atom
E_tot = -4.01 eV per atom
Crystal system = tetragonal
SG = P4/mbm (127)

```
10
Lattice="-2.385 -0.834 -9.698 9.418 -2.721 -2.082 -0.866 -3.385 0.504" Properties=species:S:1:pos:R:3 pbc="T T T"
V 4.736 -3.285 -1.560
V 7.021 -4.707 -7.178
V 1.431 -3.654 -9.717
V -0.854 -2.233 -4.099
Ba 2.243 -0.966 -2.632
Ba 0.277 -1.159 -7.311
Ba 6.756 -2.395 -4.470
Ba 4.790 -2.588 -9.148
Ca 0.000 0.000 0.000
Ca 3.517 -1.777 -5.890
```

---

# 20
An optimized crystal structure of Ba2CaV. Source: the Alexandria database, functional PBE-GGA.

Output
Relative energy among the computed polymorphs = 0.48 eV per formula unit
Formation energy from the elements = 718 meV per atom
E_tot = -3.02 eV per atom
Crystal system = tetragonal
SG = I-42d (122)

```
8
Lattice="9.875 0.000 0.000 0.000 9.875 0.000 4.938 4.938 3.611" Properties=species:S:1:pos:R:3 pbc="T T T"
Ca 4.938 9.875 1.805
Ca 4.938 4.938 0.000
V 0.000 0.000 0.000
V 9.875 4.938 1.805
Ba 7.406 6.910 2.708
Ba 12.344 12.840 2.708
Ba 7.902 2.469 0.903
Ba 1.973 7.406 0.903
```

---

# 21
An optimized crystal structure of BaCaV2. Source: the Alexandria database, functional PBE-GGA.

Output
Relative energy among the computed polymorphs = 1.13 eV per formula unit
Formation energy from the elements = 1295 meV per atom
E_tot = -4.25 eV per atom
Crystal system = tetragonal
SG = I-42d (122)

```
8
Lattice="-3.457 -6.327 -4.942 -4.326 -3.065 6.949 -6.364 -2.797 0.302" Properties=species:S:1:pos:R:3 pbc="T T T"
V -11.529 -10.277 1.896
V -4.249 -4.958 -2.083
V -7.745 -5.658 1.066
V -4.770 -3.484 3.740
Ba -6.856 -6.910 -1.818
Ba 0.000 0.000 0.000
Ca -3.891 -4.696 1.004
Ca -7.291 -5.279 4.128
```

---

# 22
An optimized crystal structure of Ba3CaV. Source: the Alexandria database, functional PBE-GGA.

Output
Relative energy among the computed polymorphs = 0.00 eV per formula unit
Formation energy from the elements = 565 meV per atom
E_tot = -2.81 eV per atom
Crystal system = cubic
SG = Pm-3m (221)

```
5
Lattice="-6.067 0.614 2.299 1.417 -4.125 4.842 1.911 5.008 3.707" Properties=species:S:1:pos:R:3 pbc="T T T"
Ca -1.369 0.748 5.424
Ba 0.709 -2.063 2.421
Ba -3.034 0.307 1.149
Ba 0.956 2.504 1.853
V 0.000 0.000 0.000
```

---

# 23
An optimized crystal structure of BaCa3V. Source: the Alexandria database, functional PBE-GGA.

Output
Relative energy among the computed polymorphs = 0.00 eV per formula unit
Formation energy from the elements = 450 meV per atom
E_tot = -2.96 eV per atom
Crystal system = cubic
SG = Pm-3m (221)

```
5
Lattice="-2.861 5.066 1.605 -1.948 -2.695 5.037 4.944 1.869 2.913" Properties=species:S:1:pos:R:3 pbc="T T T"
Ca -0.974 -1.348 2.518
Ca 2.472 0.935 1.456
Ca -1.430 2.533 0.802
Ba 0.068 2.120 4.777
V 0.000 0.000 0.000
```

---

# 24
An optimized crystal structure of Ba2CaV2. Source: the Alexandria database, functional PBE-GGA.

Output
Relative energy among the computed polymorphs = 0.00 eV per formula unit
Formation energy from the elements = 669 meV per atom
E_tot = -4.15 eV per atom
Crystal system = tetragonal
SG = I4/mmm (139)

```
5
Lattice="3.532 0.000 0.000 0.000 3.532 0.000 1.766 1.766 13.143" Properties=species:S:1:pos:R:3 pbc="T T T"
Ba 3.532 3.532 9.663
Ba 1.766 1.766 3.480
V 1.766 3.532 6.571
V 3.532 1.766 6.571
Ca 0.000 0.000 0.000
```

---

# 25
An optimized crystal structure of BaCa3V. Source: the Alexandria database, functional PBE-GGA.

Output
Relative energy among the computed polymorphs = 5.08 eV per formula unit
Formation energy from the elements = 1466 meV per atom
E_tot = -1.94 eV per atom
Crystal system = cubic
SG = Pm-3m (221)

```
5
Lattice="6.008 0.000 0.000 0.000 6.008 0.000 0.000 0.000 6.008" Properties=species:S:1:pos:R:3 pbc="T T T"
Ba 0.000 0.000 0.000
Ca 0.000 3.004 0.000
Ca 3.004 0.000 0.000
Ca 0.000 0.000 3.004
V 3.004 3.004 3.004
```

---

# 26
An optimized crystal structure of Ba2CaV. Source: the Alexandria database, functional PBE-GGA.

Output
Relative energy among the computed polymorphs = 0.00 eV per formula unit
Formation energy from the elements = 598 meV per atom
E_tot = -3.14 eV per atom
Crystal system = cubic
SG = Fm-3m (225)

```
4
Lattice="3.864 -4.731 -1.113 -2.127 -5.833 0.089 -0.471 -3.214 -5.292" Properties=species:S:1:pos:R:3 pbc="T T T"
Ba 0.949 -10.333 -4.736
Ba 0.316 -3.444 -1.579
V 0.633 -6.889 -3.158
Ca 0.000 0.000 0.000
```